# VTe2PbO6

A relaxed VTe2PbO6 crystal (GGA+U, Alexandria via LeMat-Bulk).

Structure (CIF):
```
data_VTe2PbO6
_cell_length_a 7.894
_cell_length_b 16.624
_cell_length_c 5.759
_cell_angle_alpha 90.00
_cell_angle_beta 96.08
_cell_angle_gamma 90.00
_symmetry_space_group_name_H-M 'C 1 2/c 1'
_symmetry_Int_Tables_number 15
loop_
_symmetry_equiv_pos_as_xyz
'x,y,z'
'-x,-y,-z'
'-x,y,-z+1/2'
'x,-y,z+1/2'
'x+1/2,y+1/2,z'
'-x+1/2,-y+1/2,-z'
'-x+1/2,y+1/2,-z+1/2'
'x+1/2,-y+1/2,z+1/2'
loop_
_atom_site_label
_atom_site_fract_x
_atom_site_fract_y
_atom_site_fract_z
V1 0.000 0.202 0.250
Te1 0.214 0.075 0.682
Pb1 0.000 0.362 0.750
O1 0.055 0.259 0.024
O2 0.178 0.141 0.354
O3 0.210 0.486 0.002
```

Calculated values
E = -5.890 eV/atom
total moment = 0.00 μB per formula unit
crystal system = monoclinic